First-principles (PBE-GGA) data for a geometry-optimized RbNa3W structure, as listed in Alexandria.

Properties
Volume   47.2 Å³/atom
Space group   Pm-3m, No. 221
Formation energy from the elements   1.24 eV/atom
Distance to the lowest polymorph of the same formula   0.00 eV/f.u.

a b c (Å): 6.1818 6.1818 6.1818
angles (deg): 90.00 90.00 90.00
Fractional coordinates of all 5 atoms:
Rb (0.0000, 0.0000, 0.0000)
Na (0.0000, 0.5000, 0.5000)
Na (0.5000, 0.0000, 0.5000)
Na (0.5000, 0.5000, 0.0000)
W (0.5000, 0.5000, 0.5000)